First-principles (GGA-PBE) data for a relaxed structure of ZrBeTl, as listed in Alexandria via LeMat-Bulk.

Cell and atoms, written as CIF:
```
data_ZrBeTl
_chemical_formula_sum 'Zr1 Be1 Tl1'
_symmetry_space_group_name_H-M 'P -6 m 2'
_symmetry_Int_Tables_number 187
_symmetry_space_group_name_Hall 'P -6 2'
_cell_length_a 4.3473
_cell_length_b 4.3473
_cell_length_c 3.3789
_cell_angle_alpha 90.00
_cell_angle_beta 90.00
_cell_angle_gamma 120.00
loop_
_atom_site_label
_atom_site_type_symbol
_atom_site_fract_x
_atom_site_fract_y
_atom_site_fract_z
_atom_site_occupancy
Zr1 Zr 0.0000 0.0000 0.0000 1
Be1 Be 0.3333 0.6667 0.5000 1
Tl1 Tl 0.6667 0.3333 0.5000 1
```

Formation energy from the elements (meV per atom): 69
Total moment (Bohr magnetons per cell): 0.00
Fermi-level density of states (states/eV per cell): 1.1
Electronic total energy (hartree per atom): -0.177

***

First-principles (GGA-PBE) data for a relaxed structure of Na3ScU2Se6, as listed in Alexandria via LeMat-Bulk.

Cell and atoms, written as CIF:
```
data_Na3ScU2Se6
_chemical_formula_sum 'Na6 Sc2 U4 Se12'
_symmetry_space_group_name_H-M 'C 1 2/m 1'
_symmetry_Int_Tables_number 12
_symmetry_space_group_name_Hall '-C 2y'
_cell_length_a 7.051
_cell_length_b 12.218
_cell_length_c 7.442
_cell_angle_alpha 90.00
_cell_angle_beta 108.43
_cell_angle_gamma 90.00
loop_
_atom_site_label
_atom_site_type_symbol
_atom_site_fract_x
_atom_site_fract_y
_atom_site_fract_z
_atom_site_occupancy
Na1 Na 0.000 0.000 0.000 1
Na2 Na 0.000 0.332 0.000 1
Sc1 Sc 0.000 0.500 0.500 1
U1 U 0.000 0.167 0.500 1
Se1 Se 0.237 0.339 0.730 1
Se2 Se 0.245 0.500 0.271 1
```

E_form (uncorrected) (eV per formula unit): -15.6
Total moment (Bohr magnetons per cell): 12.03
Fermi-level density of states (states/eV per cell): 17.6
Electronic total energy (hartree per atom): -0.213

***

First-principles (GGA-PBE) data for a relaxed structure of La4BiOs, as listed in Alexandria via LeMat-Bulk.

Cell and atoms, written as CIF:
```
data_La4BiOs
_chemical_formula_sum 'La16 Bi4 Os4'
_symmetry_space_group_name_H-M 'C 1 2/c 1'
_symmetry_Int_Tables_number 15
_symmetry_space_group_name_Hall '-C 2yc'
_cell_length_a 9.201
_cell_length_b 14.253
_cell_length_c 6.423
_cell_angle_alpha 90.00
_cell_angle_beta 113.20
_cell_angle_gamma 90.00
loop_
_atom_site_label
_atom_site_type_symbol
_atom_site_fract_x
_atom_site_fract_y
_atom_site_fract_z
_atom_site_occupancy
La1 La 0.110 0.175 0.066 1
La2 La 0.228 0.429 0.352 1
Bi1 Bi 0.000 0.377 0.750 1
Os1 Os 0.000 0.001 0.250 1
```

Formation energy from the elements (meV per atom): -428
Total moment (Bohr magnetons per cell): 0.00
Fermi-level density of states (states/eV per cell): 28.3
Electronic total energy (hartree per atom): -0.229

***

First-principles (GGA-PBE) data for a relaxed structure of Zr3PaFe8, as listed in Alexandria via LeMat-Bulk.

Cell and atoms, written as CIF:
```
data_Zr3PaFe8
_chemical_formula_sum 'Zr9 Pa3 Fe24'
_symmetry_space_group_name_H-M 'R 3 m'
_symmetry_Int_Tables_number 160
_symmetry_space_group_name_Hall 'R 3 -2"'
_cell_length_a 4.9860
_cell_length_b 4.9860
_cell_length_c 24.5890
_cell_angle_alpha 90.00
_cell_angle_beta 90.00
_cell_angle_gamma 120.00
loop_
_atom_site_label
_atom_site_type_symbol
_atom_site_fract_x
_atom_site_fract_y
_atom_site_fract_z
_atom_site_occupancy
Zr1 Zr 0.0000 0.0000 0.0000 1
Zr2 Zr 0.0000 0.0000 0.1241 1
Zr3 Zr 0.0000 0.0000 0.4983 1
Pa1 Pa 0.0000 0.0000 0.6248 1
Fe1 Fe 0.0000 0.0000 0.3116 1
Fe2 Fe 0.0000 0.0000 0.8117 1
Fe3 Fe 0.9997 0.4999 0.5604 1
Fe4 Fe 0.0012 0.5006 0.0633 1
```

Formation energy from the elements (meV per atom): -217
Total moment (Bohr magnetons per cell): 34.23
Fermi-level density of states (states/eV per cell): 37.8
Electronic total energy (hartree per atom): -0.323

***

First-principles (GGA-PBE) data for a relaxed structure of KWBr2, as listed in Alexandria via LeMat-Bulk.

Cell and atoms, written as CIF:
```
data_KWBr2
_chemical_formula_sum 'K2 W2 Br4'
_symmetry_space_group_name_H-M 'C 1 m 1'
_symmetry_Int_Tables_number 8
_symmetry_space_group_name_Hall 'C -2y'
_cell_length_a 15.454
_cell_length_b 3.439
_cell_length_c 4.481
_cell_angle_alpha 90.00
_cell_angle_beta 106.70
_cell_angle_gamma 90.00
loop_
_atom_site_label
_atom_site_type_symbol
_atom_site_fract_x
_atom_site_fract_y
_atom_site_fract_z
_atom_site_occupancy
K1 K 0.000 0.000 0.000 1
W1 W 0.279 0.000 0.777 1
Br1 Br 0.105 0.500 0.604 1
Br2 Br 0.305 0.500 0.303 1
```

E_form (uncorrected) (eV per formula unit): 1.5
Total moment (Bohr magnetons per cell): 7.73
Fermi-level density of states (states/eV per cell): 1.8
Electronic total energy (hartree per atom): -0.146

***

First-principles (GGA-PBE) data for a relaxed structure of Nd4Si3SnPd12, as listed in Alexandria via LeMat-Bulk.

Cell and atoms, written as CIF:
```
data_Nd4Si3SnPd12
_chemical_formula_sum 'Nd8 Si6 Sn2 Pd24'
_symmetry_space_group_name_H-M 'I m -3 m'
_symmetry_Int_Tables_number 229
_symmetry_space_group_name_Hall '-I 4 2 3'
_cell_length_a 9.442
_cell_length_b 9.442
_cell_length_c 9.442
_cell_angle_alpha 90.00
_cell_angle_beta 90.00
_cell_angle_gamma 90.00
loop_
_atom_site_label
_atom_site_type_symbol
_atom_site_fract_x
_atom_site_fract_y
_atom_site_fract_z
_atom_site_occupancy
Nd1 Nd 0.250 0.250 0.250 1
Si1 Si 0.000 0.000 0.500 1
Sn1 Sn 0.000 0.000 0.000 1
Pd1 Pd 0.000 0.000 0.266 1
Pd2 Pd 0.000 0.250 0.500 1
```

E_form (uncorrected) (eV per formula unit): -10.7
Total moment (Bohr magnetons per cell): 0.00
Fermi-level density of states (states/eV per cell): 20.5
Electronic total energy (hartree per atom): -0.206

***

Q: Which value of Fermi-level density of states does entry 5 give?
A: 1.8 states/eV per cell

***

Repeat the sixth record exactly.
First-principles (GGA-PBE) data for a relaxed structure of Nd4Si3SnPd12, as listed in Alexandria via LeMat-Bulk.

Cell and atoms, written as CIF:
```
data_Nd4Si3SnPd12
_chemical_formula_sum 'Nd8 Si6 Sn2 Pd24'
_symmetry_space_group_name_H-M 'I m -3 m'
_symmetry_Int_Tables_number 229
_symmetry_space_group_name_Hall '-I 4 2 3'
_cell_length_a 9.442
_cell_length_b 9.442
_cell_length_c 9.442
_cell_angle_alpha 90.00
_cell_angle_beta 90.00
_cell_angle_gamma 90.00
loop_
_atom_site_label
_atom_site_type_symbol
_atom_site_fract_x
_atom_site_fract_y
_atom_site_fract_z
_atom_site_occupancy
Nd1 Nd 0.250 0.250 0.250 1
Si1 Si 0.000 0.000 0.500 1
Sn1 Sn 0.000 0.000 0.000 1
Pd1 Pd 0.000 0.000 0.266 1
Pd2 Pd 0.000 0.250 0.500 1
```

E_form (uncorrected) (eV per formula unit): -10.7
Total moment (Bohr magnetons per cell): 0.00
Fermi-level density of states (states/eV per cell): 20.5
Electronic total energy (hartree per atom): -0.206

***

Q: What is the Fermi-level density of states in the fourth record?
A: 37.8 states/eV per cell

***

Q: Which value of Fermi-level density of states does entry 6 give?
A: 20.5 states/eV per cell